The following is a DFT calculation (PBE) of a relaxed structure of Tb2Sb3.

a = 4.812 Å, b = 4.812 Å, c = 8.372 Å
α = 97.44°, β = 97.44°, γ = 53.05°
Positions (direct):
Tb 0.150 0.150 0.302
Tb 0.850 0.850 0.698
Sb 0.183 0.183 0.892
Sb 0.500 0.500 0.500
Sb 0.817 0.817 0.108

Values from the calculation:
Formation energy (no corrections) ... -698.5 meV/atom
Total moment ... 0.0 μB/cell


The following is a DFT calculation (PBE) of a relaxed structure of RbLiSc2Se4.

a = 7.140 Å, b = 7.140 Å, c = 14.140 Å
α = 90.00°, β = 90.00°, γ = 147.06°
Positions (direct):
Rb 0.110 0.890 0.750
Rb 0.890 0.110 0.250
Li 0.173 0.827 0.250
Li 0.827 0.173 0.750
Sc 0.367 0.633 0.562
Sc 0.367 0.633 0.938
Sc 0.633 0.367 0.062
Sc 0.633 0.367 0.438
Se 0.000 0.000 0.000
Se 0.000 0.000 0.500
Se 0.261 0.739 0.100
Se 0.261 0.739 0.400
Se 0.422 0.578 0.750
Se 0.578 0.422 0.250
Se 0.739 0.261 0.600
Se 0.739 0.261 0.900

Values from the calculation:
Formation energy (no corrections) ... -1530.9 meV/atom
Total moment ... 0.0 μB/cell


The following is a DFT calculation (PBE) of a relaxed structure of HfPb4S5.

a = 7.285 Å, b = 7.285 Å, c = 7.285 Å
α = 99.14°, β = 99.14°, γ = 133.04°
Positions (direct):
Hf 0.000 0.000 0.000
Pb 0.258 0.489 0.588
Pb 0.489 0.900 0.231
Pb 0.670 0.258 0.769
Pb 0.900 0.670 0.412
S 0.191 0.838 0.876
S 0.315 0.191 0.352
S 0.584 0.584 0.000
S 0.838 0.962 0.648
S 0.962 0.315 0.124

Values from the calculation:
Formation energy (no corrections) ... -631.9 meV/atom
Total moment ... 0.0 μB/cell


The following is a DFT calculation (PBE) of a relaxed structure of Ac6Cu2Ni.

a = 7.135 Å, b = 7.837 Å, c = 12.837 Å
α = 90.00°, β = 120.52°, γ = 90.00°
Positions (direct):
Ac 0.102 0.046 0.254
Ac 0.102 0.454 0.754
Ac 0.239 0.680 0.070
Ac 0.239 0.820 0.570
Ac 0.391 0.191 0.070
Ac 0.391 0.309 0.570
Ac 0.609 0.691 0.430
Ac 0.609 0.809 0.930
Ac 0.761 0.180 0.430
Ac 0.761 0.320 0.930
Ac 0.898 0.546 0.246
Ac 0.898 0.954 0.746
Cu 0.329 0.107 0.766
Cu 0.329 0.393 0.266
Cu 0.671 0.607 0.734
Cu 0.671 0.893 0.234
Ni 0.000 0.000 0.000
Ni 0.000 0.500 0.500

Values from the calculation:
Energy of formation from the pure elements ... -0.083 eV per atom
Total moment ... 0.0 μB/cell


The following is a DFT calculation (PBE) of a relaxed structure of Sm4InPb2.

a = 5.873 Å, b = 6.674 Å, c = 11.019 Å
α = 90.00°, β = 100.46°, γ = 90.00°
Positions (direct):
Sm 0.137 0.250 0.125
Sm 0.249 0.750 0.447
Sm 0.323 0.012 0.735
Sm 0.323 0.488 0.735
Sm 0.677 0.512 0.265
Sm 0.677 0.988 0.265
Sm 0.751 0.250 0.553
Sm 0.863 0.750 0.875
In 0.098 0.750 0.171
In 0.902 0.250 0.829
Pb 0.214 0.250 0.431
Pb 0.416 0.750 0.999
Pb 0.584 0.250 0.001
Pb 0.786 0.750 0.569

Values from the calculation:
Energy of formation from the pure elements ... -0.374 eV per atom
Total moment ... 0.0 μB/cell


The following is a DFT calculation (PBE) of a relaxed structure of RbBi2Ir.

a = 5.246 Å, b = 5.246 Å, c = 5.246 Å
α = 60.00°, β = 60.00°, γ = 60.00°
Positions (direct):
Rb 0.000 0.000 0.000
Bi 0.250 0.250 0.250
Bi 0.750 0.750 0.750
Ir 0.500 0.500 0.500

Values from the calculation:
Energy of formation from the pure elements ... 0.444 eV per atom
Total moment ... 0.0 μB/cell


The following is a DFT calculation (PBE) of a relaxed structure of Rb2Mg3BiF12.

a = 7.689 Å, b = 7.689 Å, c = 7.689 Å
α = 57.80°, β = 57.80°, γ = 57.80°
Positions (direct):
Rb 0.095 0.095 0.095
Rb 0.905 0.905 0.905
Mg 0.000 0.500 0.500
Mg 0.500 0.000 0.500
Mg 0.500 0.500 0.000
Bi 0.500 0.500 0.500
F 0.151 0.589 0.589
F 0.195 0.195 0.581
F 0.195 0.581 0.195
F 0.411 0.411 0.849
F 0.411 0.849 0.411
F 0.419 0.805 0.805
F 0.581 0.195 0.195
F 0.589 0.151 0.589
F 0.589 0.589 0.151
F 0.805 0.419 0.805
F 0.805 0.805 0.419
F 0.849 0.411 0.411

Values from the calculation:
Formation energy (no corrections) ... -2965.9 meV/atom
Total moment ... 1.0 μB/cell


The following is a DFT calculation (PBE) of a relaxed structure of Tm2CdPt.

a = 5.029 Å, b = 5.029 Å, c = 5.029 Å
α = 60.00°, β = 60.00°, γ = 60.00°
Positions (direct):
Tm 0.250 0.250 0.250
Tm 0.750 0.750 0.750
Cd 0.000 0.000 0.000
Pt 0.500 0.500 0.500

Values from the calculation:
Energy of formation from the pure elements ... -0.762 eV per atom
Total moment ... 0.0 μB/cell


The following is a DFT calculation (PBE) of a relaxed structure of Th3In3Os.

a = 10.352 Å, b = 10.352 Å, c = 10.352 Å
α = 60.00°, β = 60.00°, γ = 60.00°
Positions (direct):
Th 0.078 0.078 0.672
Th 0.078 0.672 0.078
Th 0.078 0.672 0.672
Th 0.328 0.328 0.922
Th 0.328 0.922 0.328
Th 0.328 0.922 0.922
Th 0.672 0.078 0.078
Th 0.672 0.078 0.672
Th 0.672 0.672 0.078
Th 0.922 0.328 0.328
Th 0.922 0.328 0.922
Th 0.922 0.922 0.328
In 0.000 0.500 0.500
In 0.290 0.290 0.290
In 0.290 0.290 0.631
In 0.290 0.631 0.290
In 0.369 0.710 0.710
In 0.500 0.000 0.500
In 0.500 0.500 0.000
In 0.500 0.500 0.500
In 0.631 0.290 0.290
In 0.710 0.369 0.710
In 0.710 0.710 0.369
In 0.710 0.710 0.710
Os 0.000 0.000 0.000
Os 0.000 0.000 0.500
Os 0.000 0.500 0.000
Os 0.500 0.000 0.000

Values from the calculation:
Energy of formation from the pure elements ... -0.322 eV per atom
Total moment ... 0.0 μB/cell


The following is a DFT calculation (PBE) of a relaxed structure of ReAg2Pb.

a = 10.829 Å, b = 10.829 Å, c = 10.829 Å
α = 158.81°, β = 158.81°, γ = 30.15°
Positions (direct):
Re 0.000 0.000 0.000
Re 0.750 0.250 0.500
Ag 0.111 0.625 0.986
Ag 0.375 0.361 0.486
Ag 0.639 0.125 0.014
Ag 0.875 0.889 0.514
Pb 0.250 0.750 0.500
Pb 0.500 0.500 0.000

Values from the calculation:
Energy of formation from the pure elements ... 0.975 eV per atom
Total moment ... 3.3 μB/cell


The following is a DFT calculation (PBE) of a relaxed structure of Pm2PuN.

a = 3.183 Å, b = 3.183 Å, c = 8.943 Å
α = 90.00°, β = 90.00°, γ = 90.00°
Positions (direct):
Pm 0.000 0.000 0.163
Pm 0.000 0.000 0.837
Pu 0.500 0.500 0.500
N 0.500 0.500 0.000

Values from the calculation:
Formation energy (no corrections) ... -87.6 meV/atom
Total moment ... 6.8 μB/cell


The following is a DFT calculation (PBE) of a relaxed structure of Hg2IrRu.

a = 10.058 Å, b = 10.058 Å, c = 10.058 Å
α = 16.52°, β = 16.52°, γ = 16.52°
Positions (direct):
Hg 0.000 0.000 0.000
Hg 0.234 0.234 0.234
Ir 0.483 0.483 0.483
Ru 0.749 0.749 0.749

Values from the calculation:
Energy of formation from the pure elements ... 0.398 eV per atom
Total moment ... 0.0 μB/cell


The following is a DFT calculation (PBE) of a relaxed structure of Y3Zn4.

a = 6.438 Å, b = 6.438 Å, c = 6.678 Å
α = 94.27°, β = 94.27°, γ = 35.37°
Positions (direct):
Y 0.000 0.000 0.000
Y 0.268 0.268 0.766
Y 0.732 0.732 0.234
Zn 0.091 0.091 0.423
Zn 0.431 0.431 0.313
Zn 0.569 0.569 0.687
Zn 0.909 0.909 0.577

Values from the calculation:
Energy of formation from the pure elements ... -0.247 eV per atom
Total moment ... 0.0 μB/cell


The following is a DFT calculation (PBE) of a relaxed structure of Ce3Os.

a = 3.997 Å, b = 3.997 Å, c = 5.607 Å
α = 90.00°, β = 90.00°, γ = 90.00°
Positions (direct):
Ce 0.000 0.000 0.000
Ce 0.000 0.500 0.500
Ce 0.500 0.000 0.500
Os 0.500 0.500 0.000

Values from the calculation:
Energy of formation from the pure elements ... -0.020 eV per atom
Total moment ... 0.0 μB/cell


The following is a DFT calculation (PBE) of a relaxed structure of CrTe2As.

a = 3.097 Å, b = 3.097 Å, c = 9.757 Å
α = 90.00°, β = 90.00°, γ = 90.00°
Positions (direct):
Cr 0.000 0.000 0.000
Te 0.000 0.000 0.538
Te 0.500 0.500 0.168
As 0.500 0.500 0.859

Values from the calculation:
Formation energy (no corrections) ... 153.3 meV/atom
Total moment ... 0.2 μB/cell


The following is a DFT calculation (PBE) of a relaxed structure of NaSr2MgRh.

a = 5.869 Å, b = 5.869 Å, c = 5.144 Å
α = 90.00°, β = 90.00°, γ = 90.00°
Positions (direct):
Na 0.000 0.000 0.000
Sr 0.000 0.500 0.500
Sr 0.500 0.000 0.500
Mg 0.500 0.500 0.000
Rh 0.500 0.500 0.500

Values from the calculation:
Energy of formation from the pure elements ... -0.137 eV per atom
Total moment ... 0.0 μB/cell


The following is a DFT calculation (PBE) of a relaxed structure of LaTlS3.

a = 5.581 Å, b = 5.581 Å, c = 5.581 Å
α = 90.00°, β = 90.00°, γ = 90.00°
Positions (direct):
La 0.000 0.000 0.000
Tl 0.500 0.500 0.500
S 0.000 0.000 0.500
S 0.000 0.500 0.000
S 0.500 0.000 0.000

Values from the calculation:
Formation energy (no corrections) ... -616.8 meV/atom
Total moment ... 2.0 μB/cell


The following is a DFT calculation (PBE) of a relaxed structure of Ca2Te.

a = 6.503 Å, b = 6.503 Å, c = 6.503 Å
α = 111.70°, β = 111.70°, γ = 105.09°
Positions (direct):
Ca 0.186 0.686 0.872
Ca 0.314 0.186 0.500
Ca 0.686 0.814 0.500
Ca 0.814 0.314 0.128
Te 0.250 0.250 0.000
Te 0.750 0.750 0.000

Values from the calculation:
Formation energy (no corrections) ... -891.6 meV/atom
Total moment ... 0.0 μB/cell


The following is a DFT calculation (PBE) of a relaxed structure of KMo2Au.

a = 2.950 Å, b = 3.269 Å, c = 9.176 Å
α = 90.00°, β = 95.24°, γ = 90.00°
Positions (direct):
K 0.000 0.000 0.000
Mo 0.480 0.500 0.338
Mo 0.840 0.000 0.506
Au 0.424 0.500 0.716

Values from the calculation:
Energy of formation from the pure elements ... 0.509 eV per atom
Total moment ... 0.0 μB/cell


The following is a DFT calculation (PBE) of a relaxed structure of MnMo2S2.

a = 6.945 Å, b = 6.945 Å, c = 3.041 Å
α = 90.00°, β = 90.00°, γ = 90.00°
Positions (direct):
Mn 0.000 0.000 0.000
Mn 0.500 0.500 0.000
Mo 0.146 0.354 0.000
Mo 0.354 0.854 0.000
Mo 0.646 0.146 0.000
Mo 0.854 0.646 0.000
S 0.150 0.650 0.500
S 0.350 0.150 0.500
S 0.650 0.850 0.500
S 0.850 0.350 0.500

Values from the calculation:
Formation energy (no corrections) ... 143.3 meV/atom
Total moment ... 5.3 μB/cell